Below is a geometry-optimized GaTc5 structure, with properties calculated at the PBE-GGA level.

* polymorph energy (0 for the lowest one): 0 meV/atom
* crystal system: orthorhombic

Cell lengths 4.347, 13.535, 2.968 Å; angles 90.00, 90.00, 90.00 degrees
Atoms (fractional coordinates):
Ga 0.000 0.000 0.000
Ga 0.500 0.500 0.000
Tc 0.000 0.154 0.500
Tc 0.000 0.319 0.000
Tc 0.000 0.500 0.500
Tc 0.000 0.681 0.000
Tc 0.000 0.846 0.500
Tc 0.500 0.000 0.500
Tc 0.500 0.181 0.000
Tc 0.500 0.346 0.500
Tc 0.500 0.654 0.500
Tc 0.500 0.819 0.000

---

Below is a geometry-optimized Ga5Tc structure, with properties calculated at the PBE-GGA level.

* polymorph energy (0 for the lowest one): 179 meV/atom
* crystal system: orthorhombic

Cell lengths 4.290, 12.571, 3.582 Å; angles 90.00, 90.00, 90.00 degrees
Atoms (fractional coordinates):
Ga 0.000 0.000 0.000
Ga 0.000 0.156 0.500
Ga 0.000 0.334 0.000
Ga 0.000 0.666 0.000
Ga 0.000 0.844 0.500
Ga 0.500 0.166 0.000
Ga 0.500 0.344 0.500
Ga 0.500 0.500 0.000
Ga 0.500 0.656 0.500
Ga 0.500 0.834 0.000
Tc 0.000 0.500 0.500
Tc 0.500 0.000 0.500

---

Below is a geometry-optimized Ga5Tc structure, with properties calculated at the PBE-GGA level.

* polymorph energy (0 for the lowest one): 0 meV/atom
* crystal system: tetragonal

Cell lengths 6.782, 6.782, 6.782 Å; angles 122.54, 122.54, 85.65 degrees
Atoms (fractional coordinates):
Ga 0.000 0.000 0.000
Ga 0.003 0.503 0.800
Ga 0.203 0.003 0.500
Ga 0.297 0.797 0.800
Ga 0.497 0.297 0.500
Ga 0.500 0.500 0.000
Ga 0.503 0.703 0.500
Ga 0.703 0.203 0.200
Ga 0.797 0.997 0.500
Ga 0.997 0.497 0.200
Tc 0.250 0.250 0.000
Tc 0.750 0.750 0.000

---

Below is a geometry-optimized Ga2Tc structure, with properties calculated at the PBE-GGA level.

* polymorph energy (0 for the lowest one): 264 meV/atom
* crystal system: orthorhombic

Cell lengths 3.195, 4.695, 12.748 Å; angles 90.00, 90.00, 90.00 degrees
Atoms (fractional coordinates):
Ga 0.000 0.000 0.159
Ga 0.000 0.000 0.841
Ga 0.000 0.500 0.341
Ga 0.000 0.500 0.659
Ga 0.500 0.000 0.341
Ga 0.500 0.000 0.659
Ga 0.500 0.500 0.159
Ga 0.500 0.500 0.841
Tc 0.000 0.000 0.500
Tc 0.000 0.500 0.000
Tc 0.500 0.000 0.000
Tc 0.500 0.500 0.500